Material: DyZr3Sc6
Method: DFT, PBE
State: relaxed

The density of states at the Fermi level is 1.6436 states/eV per atom. As for the theoretical density: 4.747 Mg/m³. The formation energy comes out at 67 meV per atom. The value obtained for the magnetization is 0.000 μB per formula unit. As for the space-group type: No. 11.

Cell: 11.930 3.214 13.084 Å, 90.00 100.06 90.00°
Atoms (fractional coordinates):
Dy (0.037, 0.250, 0.224)
Dy (0.963, 0.750, 0.776)
Zr (0.075, 0.250, 0.595)
Zr (0.381, 0.750, 0.998)
Zr (0.426, 0.250, 0.405)
Zr (0.574, 0.750, 0.595)
Zr (0.619, 0.250, 0.002)
Zr (0.925, 0.750, 0.405)
Sc (0.133, 0.250, 0.989)
Sc (0.195, 0.750, 0.429)
Sc (0.223, 0.750, 0.786)
Sc (0.279, 0.750, 0.203)
Sc (0.347, 0.250, 0.617)
Sc (0.499, 0.250, 0.189)
Sc (0.501, 0.750, 0.811)
Sc (0.653, 0.750, 0.383)
Sc (0.721, 0.250, 0.797)
Sc (0.777, 0.250, 0.214)
Sc (0.805, 0.250, 0.571)
Sc (0.867, 0.750, 0.011)